KHPbI2: relaxed, GGA-PBEsol.

## Properties
As for the density of states at the Fermi level: 2.5 states/eV/f.u. For the mass density, the calculation gives 3.28 g/cm3. Its electronic total energy is -1.80 eV/atom.

```
data_KHPbI2
_chemical_formula_sum 'K1 H1 Pb1 I2'
_cell_length_a 6.325
_cell_length_b 6.325
_cell_length_c 6.333
_cell_angle_alpha 90.00
_cell_angle_beta 90.00
_cell_angle_gamma 90.00
_symmetry_space_group_name_H-M 'P 4/m m m'
_symmetry_Int_Tables_number 123
_symmetry_space_group_name_Hall '-P 4 2'
loop_
_atom_site_label
_atom_site_fract_x
_atom_site_fract_y
_atom_site_fract_z
K1 0.000 0.000 0.000
H1 0.500 0.500 0.500
Pb1 0.000 0.000 0.500
I1 0.000 0.500 0.000
```